1.
SbIr2Pd: relaxed, GGA-PBE.

Output
ρ   15.5 Mg/m³
Energy   -6.54 eV/atom
SG   F-43m

Cell lengths 4.5323, 4.5323, 4.5323 Å; angles 60.00, 60.00, 60.00 degrees
Site moments in Bohr magnetons follow the coordinates.
Fractional positions:
Sb (0.5000, 0.5000, 0.5000)  0.00
Ir (0.0000, 0.0000, 0.0000)  0.06
Ir (0.7500, 0.7500, 0.7500)  0.07
Pd (0.2500, 0.2500, 0.2500)  0.01

=====

2.
Hf4AsN3: relaxed, GGA-PBE.

Output
ρ   13.0 Mg/m³
Energy   -10.18 eV/atom
SG   P6_3/mmc

Cell lengths 3.2800, 3.2800, 22.8678 Å; angles 90.00, 90.00, 120.00 degrees
Fractional positions:
N (0.6667, 0.3333, 0.3890)
N (0.3333, 0.6667, 0.6110)
N (0.3333, 0.6667, 0.8890)
N (0.0000, 0.0000, 0.5000)
N (0.0000, 0.0000, 0.0000)
N (0.6667, 0.3333, 0.1110)
Hf (0.0000, 0.0000, 0.3338)
Hf (0.0000, 0.0000, 0.1662)
Hf (0.6667, 0.3333, 0.5582)
Hf (0.3333, 0.6667, 0.4418)
Hf (0.0000, 0.0000, 0.6662)
Hf (0.0000, 0.0000, 0.8338)
Hf (0.3333, 0.6667, 0.0582)
Hf (0.6667, 0.3333, 0.9418)
As (0.3333, 0.6667, 0.2500)
As (0.6667, 0.3333, 0.7500)

=====

3.
PuSiPb: relaxed, GGA-PBE.

Output
ρ   10.0 Mg/m³
ΔE to the lowest computed polymorph   264.5 meV per atom
SG   F-43m

Cell lengths 4.8239, 4.8239, 4.8239 Å; angles 60.00, 60.00, 60.00 degrees
Site moments in Bohr magnetons follow the coordinates.
Fractional positions:
Si (0.0000, 0.0000, 0.0000)  -0.01
Pu (0.2500, 0.2500, 0.2500)  5.25
Pb (0.5000, 0.5000, 0.5000)  0.07

=====

4.
HfNb2Te2: relaxed, GGA-PBE.

Output
ρ   8.5 Mg/m³
ΔE to the lowest computed polymorph   0.0 meV per atom
SG   I4/mmm

Cell lengths 9.9485, 9.9485, 9.9485 Å; angles 159.43, 159.43, 29.25 degrees
Fractional positions:
Hf (0.0000, 0.0000, 0.0000)
Te (0.1585, 0.1585, 0.0000)
Te (0.8415, 0.8415, 0.0000)
Nb (0.5844, 0.5844, 0.0000)
Nb (0.4156, 0.4156, 0.0000)